No. 1
# Ca2MgCd (PBE, relaxed)
data_Ca2MgCd
_chemical_formula_sum 'Ca6 Mg3 Cd3'
_space_group_name_H-M_alt 'R 3 m'
_space_group_IT_number 160
_space_group_name_Hall 'R 3 -2"'
_cell_length_a 3.7539
_cell_length_b 3.7539
_cell_length_c 31.7068
_cell_angle_alpha 90.00
_cell_angle_beta 90.00
_cell_angle_gamma 120.00
loop_
_atom_site_label
_atom_site_fract_x
_atom_site_fract_y
_atom_site_fract_z
Ca1 0.0000 0.0000 0.0000
Ca2 0.0000 0.0000 0.2303
Mg1 0.0000 0.0000 0.4776
Cd1 0.0000 0.0000 0.7447
# - DOS(E_F): 7.3 states/eV per cell
# - Energy of formation: -31 meV/atom
# - Distance to the lowest polymorph of the same formula: 0.188 eV/atom
# - Total DFT energy (no corrections): -1.66 eV per atom
# - Spin magnetization: 0.000 μB per atom

---

No. 2
# Ca2MgCd (PBE, relaxed)
data_Ca2MgCd
_chemical_formula_sum 'Ca2 Mg1 Cd1'
_space_group_name_H-M_alt 'P 4/m m m'
_space_group_IT_number 123
_space_group_name_Hall '-P 4 2'
_cell_length_a 3.803
_cell_length_b 3.803
_cell_length_c 8.197
_cell_angle_alpha 90.00
_cell_angle_beta 90.00
_cell_angle_gamma 90.00
loop_
_atom_site_label
_atom_site_fract_x
_atom_site_fract_y
_atom_site_fract_z
Ca1 0.000 0.000 0.236
Mg1 0.500 0.500 0.500
Cd1 0.500 0.500 0.000
# - DOS(E_F): 3.9 states/eV per cell
# - Energy of formation: -218 meV/atom
# - Distance to the lowest polymorph of the same formula: 0.001 eV/atom
# - Total DFT energy (no corrections): -1.85 eV per atom
# - Spin magnetization: 0.000 μB per atom

---

No. 3
# CaMg2Cd2 (PBE, relaxed)
data_CaMg2Cd2
_chemical_formula_sum 'Ca2 Mg4 Cd4'
_space_group_name_H-M_alt 'I 4/m m m'
_space_group_IT_number 139
_space_group_name_Hall '-I 4 2'
_cell_length_a 4.421
_cell_length_b 4.421
_cell_length_c 13.327
_cell_angle_alpha 90.00
_cell_angle_beta 90.00
_cell_angle_gamma 90.00
loop_
_atom_site_label
_atom_site_fract_x
_atom_site_fract_y
_atom_site_fract_z
Ca1 0.000 0.000 0.000
Mg1 0.000 0.500 0.250
Cd1 0.000 0.000 0.395
# - DOS(E_F): 6.3 states/eV per cell
# - Energy of formation: -182 meV/atom
# - Distance to the lowest polymorph of the same formula: 0.000 eV/atom
# - Total DFT energy (no corrections): -1.59 eV per atom
# - Spin magnetization: 0.000 μB per atom